(1)
# ZnCd2Au (PBE, optimized geometry)
data_ZnCd2Au
_chemical_formula_sum 'Zn2 Cd4 Au2'
_space_group_name_H-M_alt 'I m m 2'
_space_group_IT_number 44
_cell_length_a 2.9567
_cell_length_b 4.8085
_cell_length_c 11.2710
_cell_angle_alpha 90.00
_cell_angle_beta 90.00
_cell_angle_gamma 90.00
loop_
_space_group_symop_operation_xyz
'x,y,z'
'-x,-y,z'
'-x,y,z'
'x,-y,z'
'x+1/2,y+1/2,z+1/2'
'-x+1/2,-y+1/2,z+1/2'
'-x+1/2,y+1/2,z+1/2'
'x+1/2,-y+1/2,z+1/2'
loop_
_atom_site_label
_atom_site_type_symbol
_atom_site_fract_x
_atom_site_fract_y
_atom_site_fract_z
_atom_site_occupancy
Zn1 Zn 0.0000 0.0000 0.0000 1
Cd1 Cd 0.0000 0.0000 0.5521 1
Cd2 Cd 0.0000 0.5000 0.7488 1
Au1 Au 0.0000 0.5000 0.2996 1
# ΔH_f (0 K) = -70 meV/atom
# Crystal system = orthorhombic
# Fermi-level density of states = 1.64 states/eV per cell



(2)
# Zn4CdAu5 (PBE, optimized geometry)
data_Zn4CdAu5
_chemical_formula_sum 'Zn4 Cd1 Au5'
_space_group_name_H-M_alt 'P 4/m m m'
_space_group_IT_number 123
_space_group_name_Hall '-P 4 2'
_cell_length_a 3.1839
_cell_length_b 3.1839
_cell_length_c 16.6237
_cell_angle_alpha 90.00
_cell_angle_beta 90.00
_cell_angle_gamma 90.00
loop_
_atom_site_label
_atom_site_type_symbol
_atom_site_fract_x
_atom_site_fract_y
_atom_site_fract_z
_atom_site_occupancy
Zn1 Zn 0.0000 0.0000 0.0962 1
Zn2 Zn 0.0000 0.0000 0.2888 1
Cd1 Cd 0.0000 0.0000 0.5000 1
Au1 Au 0.5000 0.5000 0.0000 1
Au2 Au 0.5000 0.5000 0.1925 1
Au3 Au 0.5000 0.5000 0.3827 1
# ΔH_f (0 K) = -201 meV/atom
# Crystal system = tetragonal
# Fermi-level density of states = 2.73 states/eV per cell



(3)
# Zn2CdAu5 (PBE, optimized geometry)
data_Zn2CdAu5
_chemical_formula_sum 'Zn4 Cd2 Au10'
_space_group_name_H-M_alt 'I m m m'
_space_group_IT_number 71
_space_group_name_Hall '-I 2 2'
_cell_length_a 3.0384
_cell_length_b 8.3374
_cell_length_c 11.2862
_cell_angle_alpha 90.00
_cell_angle_beta 90.00
_cell_angle_gamma 90.00
loop_
_atom_site_label
_atom_site_type_symbol
_atom_site_fract_x
_atom_site_fract_y
_atom_site_fract_z
_atom_site_occupancy
Zn1 Zn 0.0000 0.0000 0.2360 1
Cd1 Cd 0.0000 0.5000 0.0000 1
Au1 Au 0.0000 0.0000 0.0000 1
Au2 Au 0.0000 0.2563 0.3679 1
# ΔH_f (0 K) = -128 meV/atom
# Crystal system = orthorhombic
# Fermi-level density of states = 4.37 states/eV per cell
# ΔE to the lowest computed polymorph = 32 meV per atom



(4)
# ZnCd2Au2 (PBE, optimized geometry)
data_ZnCd2Au2
_chemical_formula_sum 'Zn2 Cd4 Au4'
_space_group_name_H-M_alt 'I m m m'
_space_group_IT_number 71
_space_group_name_Hall '-I 2 2'
_cell_length_a 4.3754
_cell_length_b 5.6565
_cell_length_c 8.1414
_cell_angle_alpha 90.00
_cell_angle_beta 90.00
_cell_angle_gamma 90.00
loop_
_atom_site_label
_atom_site_type_symbol
_atom_site_fract_x
_atom_site_fract_y
_atom_site_fract_z
_atom_site_occupancy
Zn1 Zn 0.0000 0.0000 0.0000 1
Cd1 Cd 0.0000 0.5000 0.1886 1
Au1 Au 0.0000 0.2442 0.5000 1
# ΔH_f (0 K) = -150 meV/atom
# Crystal system = orthorhombic
# Fermi-level density of states = 3.57 states/eV per cell
# ΔE to the lowest computed polymorph = 0 meV per atom